No. 1
Here is a geometry-optimized Nb3Co structure from Alexandria via LeMat-Bulk. Energies are from GGA-PBE.

The total energy is -36.3 eV for the cell shown.

The space group is Pmm2 (No. 25) and the conventional cell measures 2.711, 4.553 and 5.385 Å, with angles of 90.00, 90.00 and 90.00 degrees. The inequivalent atoms are Nb at (0.000, 0.000, 0.000), Nb at (0.000, 0.500, 0.295), Nb at (0.500, 0.500, 0.767) and Co at (0.500, 0.000, 0.484).

***

No. 2
Here is a geometry-optimized NdNbCo structure from Alexandria via LeMat-Bulk. Energies are from GGA-PBE.

The total energy is -84.8 eV for the cell shown.

The space group is Amm2 (No. 38) and the conventional cell measures 10.952, 4.618 and 4.783 Å, with angles of 90.00, 90.00 and 90.00 degrees. The inequivalent atoms are Nd at (0.163, 0.000, 0.000), Nb at (0.381, 0.000, 0.503), Co at (0.000, 0.000, 0.503) and Co at (0.500, 0.000, 0.953).

***

No. 3
Here is a geometry-optimized NdNb2Co structure from Alexandria via LeMat-Bulk. Energies are from GGA-PBE.

The total energy is -88.7 eV for the cell shown.

The space group is R-3m (No. 166, hexagonal axes) and the conventional cell measures 2.9956, 2.9956 and 30.4673 Å, with angles of 90.00, 90.00 and 120.00 degrees. The inequivalent atoms are Nd at (0.0000, 0.0000, 0.0000), Nb at (0.0000, 0.0000, 0.1017) and Co at (0.0000, 0.0000, 0.5000).